(1)
Density functional theory data (PBE) for an optimized crystal structure of Ac2Pm4Pr5.

It has space group P-1 (No. 2), with a = 6.470 Å, b = 8.360 Å, c = 8.380 Å, α = 107.51°, β = 97.32° and γ = 104.76°. The inequivalent atoms are Ac at (0.137, 0.046, 0.231), Pm at (0.049, 0.676, 0.409), Pm at (0.319, 0.769, 0.863), Pr at (0.226, 0.413, 0.045), Pr at (0.410, 0.140, 0.685) and Pr at (0.500, 0.500, 0.500).

The value obtained for the uncorrected energy is -50.85 eV/cell. The distance to the lowest polymorph of the same formula is 0.0 meV per atom. The value obtained for the spin magnetization is 0.00 Bohr magnetons per cell. The value obtained for the formation enthalpy at 0 K is 0.024 eV/atom.

(2)
Density functional theory data (PBE) for an optimized crystal structure of ReSbP2Cl.

It has space group P4/mmm (No. 123), with a = 5.101 Å, b = 5.101 Å, c = 4.953 Å, α = 90.00°, β = 90.00° and γ = 90.00°. The inequivalent atoms are Re at (0.000, 0.000, 0.000), Sb at (0.500, 0.500, 0.500), P at (0.000, 0.500, 0.500) and Cl at (0.500, 0.500, 0.000).

The value obtained for the uncorrected energy is -20.88 eV/cell. The distance to the lowest polymorph of the same formula is 1139.8 meV per atom. The value obtained for the spin magnetization is 4.05 Bohr magnetons per cell.

Look up the spin magnetization of the second one. 4.05 Bohr magnetons per cell

Among the records above, which one has the lowest uncorrected energy? Ac2Pm4Pr5